(1)
# LiZnAu2

Crystalline LiZnAu2 at its relaxed geometry (GGA-PBE, OQMD via LeMat-Bulk).

Results
Symmetry: No. 194
Final energy, eV per atom: -2.77

a = 4.4916 Å, b = 4.4916 Å, c = 8.0063 Å
α = 90.00°, β = 90.00°, γ = 120.00°
Closest atoms and distances in Å follow each position.
Fractional positions:
Au: 0.3333 0.6667 0.9189  4 Zn 2.65-2.92, 3 Li 2.67, 4 Au 2.70-2.90
Au: 0.3333 0.6667 0.5811  4 Zn 2.65-2.92, 3 Li 2.67, 4 Au 2.70-2.90
Au: 0.6667 0.3333 0.0811  4 Zn 2.65-2.92, 3 Li 2.67, 4 Au 2.70-2.90
Au: 0.6667 0.3333 0.4189  4 Zn 2.65-2.92, 3 Li 2.67, 4 Au 2.70-2.90
Li: 0.0000 0.0000 0.5000  6 Au 2.67
Li: 0.0000 0.0000 0.0000  6 Au 2.67
Zn: 0.6667 0.3333 0.7500  8 Au 2.65-2.92
Zn: 0.3333 0.6667 0.2500  8 Au 2.65-2.92

=====

(2)
# Li2ZrAu

Crystalline Li2ZrAu at its relaxed geometry (GGA-PBE, OQMD via LeMat-Bulk).

Results
Symmetry: No. 216
Final energy, eV per atom: -4.14

a = 4.5834 Å, b = 4.5834 Å, c = 4.5834 Å
α = 60.00°, β = 60.00°, γ = 60.00°
Closest atoms and distances in Å follow each position.
Fractional positions:
Li: 0.0000 0.0000 0.0000  4 Li 2.81, 4 Au 2.81
Li: 0.7500 0.7500 0.7500  4 Zr 2.81, 4 Li 2.81
Au: 0.2500 0.2500 0.2500  4 Zr 2.81, 4 Li 2.81
Zr: 0.5000 0.5000 0.5000  4 Au 2.81, 4 Li 2.81

=====

(3)
# LiZrAu2

Crystalline LiZrAu2 at its relaxed geometry (GGA-PBE, OQMD via LeMat-Bulk).

Results
Symmetry: No. 139
Final energy, eV per atom: -4.79
Polymorph energy (0 for the lowest one), eV/f.u.: 0.00

a = 4.6826 Å, b = 6.6436 Å, c = 14.0271 Å
α = 90.00°, β = 90.00°, γ = 90.00°
Closest atoms and distances in Å follow each position.
Fractional positions:
Au: 0.0000 0.7504 0.5000  4 Li 2.87, 4 Zr 2.87
Au: 0.5000 0.2504 0.3333  4 Li 2.87, 4 Zr 2.87
Au: 0.0000 0.7504 0.8333  4 Li 2.87, 4 Zr 2.87
Au: 0.5000 0.2504 0.6667  4 Li 2.87, 4 Zr 2.87
Au: 0.5000 0.7496 0.3333  4 Li 2.87, 4 Zr 2.87
Au: 0.5000 0.2504 0.0000  4 Li 2.87, 4 Zr 2.87
Au: 0.0000 0.2496 0.1667  4 Li 2.87, 4 Zr 2.87
Au: 0.0000 0.2496 0.5000  4 Li 2.87, 4 Zr 2.87
Au: 0.5000 0.7496 0.6667  4 Li 2.87, 4 Zr 2.87
Au: 0.5000 0.7496 0.0000  4 Li 2.87, 4 Zr 2.87
Au: 0.0000 0.2496 0.8333  4 Li 2.87, 4 Zr 2.87
Au: 0.0000 0.7504 0.1667  4 Li 2.87, 4 Zr 2.87
Zr: 0.5000 0.0000 0.5000  8 Au 2.87
Zr: 0.5000 0.0000 0.8333  8 Au 2.87
Zr: 0.0000 0.5000 0.3333  8 Au 2.87
Zr: 0.0000 0.5000 0.6667  8 Au 2.87
Zr: 0.5000 0.0000 0.1667  8 Au 2.87
Zr: 0.0000 0.5000 0.0000  8 Au 2.87
Li: 0.0000 0.0000 0.0000  8 Au 2.87
Li: 0.5004 0.5000 0.1667  8 Au 2.87
Li: 0.5000 0.5000 0.5000  8 Au 2.87
Li: 0.4996 0.5000 0.8333  8 Au 2.87
Li: 0.9996 0.0000 0.6667  8 Au 2.87
Li: 0.0004 0.0000 0.3333  8 Au 2.87

=====

(4)
# LiZrAu2

Crystalline LiZrAu2 at its relaxed geometry (GGA-PBE, OQMD via LeMat-Bulk).

Results
Symmetry: No. 123
Final energy, eV per atom: -4.75
Polymorph energy (0 for the lowest one), eV/f.u.: 0.16

a = 4.9934 Å, b = 4.9934 Å, c = 2.9967 Å
α = 90.00°, β = 90.00°, γ = 90.00°
Closest atoms and distances in Å follow each position.
Fractional positions:
Li: 0.5000 0.5000 0.0000  8 Au 2.91, 2 Li 3.00
Zr: 0.0000 0.0000 0.0000  8 Au 2.91, 2 Zr 3.00
Au: 0.5000 0.0000 0.5000  4 Li 2.91, 4 Zr 2.91, 2 Au 3.00
Au: 0.0000 0.5000 0.5000  4 Zr 2.91, 4 Li 2.91, 2 Au 3.00

=====

(5)
# LiZrAu2

Crystalline LiZrAu2 at its relaxed geometry (GGA-PBE, OQMD via LeMat-Bulk).

Results
Symmetry: No. 194
Final energy, eV per atom: -4.75
Polymorph energy (0 for the lowest one), eV/f.u.: 0.13

a = 4.4371 Å, b = 4.4371 Å, c = 8.6574 Å
α = 90.00°, β = 90.00°, γ = 120.00°
Closest atoms and distances in Å follow each position.
Fractional positions:
Li: 0.0000 0.0000 0.0000  6 Au 2.67
Li: 0.0000 0.0000 0.5000  6 Au 2.67
Au: 0.6667 0.3333 0.0849  3 Li 2.67, 4 Au 2.86-2.95, 4 Zr 2.90-2.93
Au: 0.6667 0.3333 0.4151  3 Li 2.67, 4 Au 2.86-2.95, 4 Zr 2.90-2.93
Au: 0.3333 0.6667 0.5849  3 Li 2.67, 4 Au 2.86-2.95, 4 Zr 2.90-2.93
Au: 0.3333 0.6667 0.9151  3 Li 2.67, 4 Au 2.86-2.95, 4 Zr 2.90-2.93
Zr: 0.6667 0.3333 0.7500  8 Au 2.90-2.93
Zr: 0.3333 0.6667 0.2500  8 Au 2.90-2.93

=====

(6)
# LiZrAu2

Crystalline LiZrAu2 at its relaxed geometry (GGA-PBE, OQMD via LeMat-Bulk).

Results
Symmetry: No. 216
Final energy, eV per atom: -4.62
Polymorph energy (0 for the lowest one), eV/f.u.: 0.64

a = 4.6313 Å, b = 4.6313 Å, c = 4.6313 Å
α = 60.00°, β = 60.00°, γ = 60.00°
Closest atoms and distances in Å follow each position.
Fractional positions:
Au: 0.0000 0.0000 0.0000  4 Au 2.84, 4 Zr 2.84
Au: 0.7500 0.7500 0.7500  4 Au 2.84, 4 Li 2.84
Zr: 0.2500 0.2500 0.2500  4 Li 2.84, 4 Au 2.84
Li: 0.5000 0.5000 0.5000  4 Zr 2.84, 4 Au 2.84

=====

(7)
# LiZrAu2

Crystalline LiZrAu2 at its relaxed geometry (GGA-PBE, OQMD via LeMat-Bulk).

Results
Symmetry: No. 123
Final energy, eV per atom: -4.76
Polymorph energy (0 for the lowest one), eV/f.u.: 0.09

a = 3.1586 Å, b = 3.1586 Å, c = 7.0321 Å
α = 90.00°, β = 90.00°, γ = 90.00°
Closest atoms and distances in Å follow each position.
Fractional positions:
Au: 0.5000 0.5000 0.7197  4 Li 2.72, 4 Zr 2.98
Au: 0.5000 0.5000 0.2803  4 Li 2.72, 4 Zr 2.98
Zr: 0.0000 0.0000 0.0000  8 Au 2.98, 4 Zr 3.16
Li: 0.0000 0.0000 0.5000  8 Au 2.72

=====

(8)
# LiZrAu2

Crystalline LiZrAu2 at its relaxed geometry (GGA-PBE, OQMD via LeMat-Bulk).

Results
Symmetry: No. 194
Final energy, eV per atom: -4.40
Polymorph energy (0 for the lowest one), eV/f.u.: 1.52

a = 4.5898 Å, b = 4.5898 Å, c = 8.3307 Å
α = 90.00°, β = 90.00°, γ = 120.00°
Closest atoms and distances in Å follow each position.
Fractional positions:
Li: 0.0000 0.0000 0.7500  3 Zr 2.65
Li: 0.0000 0.0000 0.2500  3 Zr 2.65
Au: 0.6667 0.3333 0.5842  4 Au 2.76-3.00, 4 Zr 2.78-2.99, 3 Li 2.99
Au: 0.3333 0.6667 0.4158  4 Au 2.76-3.00, 4 Zr 2.78-2.99, 3 Li 2.99
Au: 0.6667 0.3333 0.9158  4 Au 2.76-3.00, 4 Zr 2.78-2.99, 3 Li 2.99
Au: 0.3333 0.6667 0.0842  4 Au 2.76-3.00, 4 Zr 2.78-2.99, 3 Li 2.99
Zr: 0.3333 0.6667 0.7500  3 Li 2.65, 2 Au 2.78
Zr: 0.6667 0.3333 0.2500  3 Li 2.65, 2 Au 2.78

=====

(9)
# LiZrAu2

Crystalline LiZrAu2 at its relaxed geometry (GGA-PBE, OQMD via LeMat-Bulk).

Results
Symmetry: No. 71
Final energy, eV per atom: -4.78
Polymorph energy (0 for the lowest one), eV/f.u.: 0.00

a = 4.6498 Å, b = 6.6462 Å, c = 14.1143 Å
α = 90.00°, β = 90.00°, γ = 90.00°
Closest atoms and distances in Å follow each position.
Fractional positions:
Zr: 0.5002 0.5000 0.8333  8 Au 2.87
Zr: 0.9998 0.0000 0.3333  8 Au 2.87
Zr: 0.0001 0.0000 0.6667  8 Au 2.87
Zr: 0.0000 0.0000 0.0000  8 Au 2.87
Zr: 0.4998 0.5000 0.1667  8 Au 2.87
Zr: 0.5000 0.5000 0.5000  8 Au 2.87
Au: 0.4998 0.7466 0.3333  4 Li 2.84-2.89, 4 Zr 2.87
Au: 0.0001 0.2467 0.8333  4 Li 2.84-2.89, 4 Zr 2.87
Au: 0.4998 0.2534 0.3333  4 Li 2.84-2.89, 4 Zr 2.87
Au: 0.5002 0.2534 0.6667  4 Li 2.84-2.89, 4 Zr 2.87
Au: 0.0000 0.2467 0.5000  4 Li 2.84-2.89, 4 Zr 2.87
Au: 0.5000 0.2533 0.0000  4 Li 2.84-2.89, 4 Zr 2.87
Au: 0.5000 0.7467 0.0000  4 Li 2.84-2.89, 4 Zr 2.87
Au: 0.0000 0.7533 0.5000  4 Li 2.84-2.89, 4 Zr 2.87
Au: 0.0001 0.7533 0.8333  4 Li 2.84-2.89, 4 Zr 2.87
Au: 0.5002 0.7466 0.6667  4 Li 2.84-2.89, 4 Zr 2.87
Au: 0.9998 0.2467 0.1667  4 Li 2.84-2.89, 4 Zr 2.87
Au: 0.9998 0.7533 0.1667  4 Li 2.84-2.89, 4 Zr 2.87
Li: 0.5000 0.0000 0.5000  8 Au 2.84-2.89
Li: 0.9999 0.5000 0.3333  8 Au 2.84-2.89
Li: 0.0001 0.5000 0.6667  8 Au 2.84-2.89
Li: 0.4999 0.0000 0.1667  8 Au 2.84-2.89
Li: 0.0000 0.5000 0.0000  8 Au 2.84-2.89
Li: 0.5001 0.0000 0.8333  8 Au 2.84-2.89

=====

(10)
# LiZrAu2

Crystalline LiZrAu2 at its relaxed geometry (GGA-PBE, OQMD via LeMat-Bulk).

Results
Symmetry: No. 65
Final energy, eV per atom: -4.75
Polymorph energy (0 for the lowest one), eV/f.u.: 0.16

a = 7.0424 Å, b = 7.0256 Å, c = 6.0466 Å
α = 90.00°, β = 90.00°, γ = 90.00°
Closest atoms and distances in Å follow each position.
Fractional positions:
Au: 0.5000 0.5000 0.2500  4 Li 2.91, 4 Zr 2.91, 2 Au 3.02
Au: 0.0000 0.5000 0.7500  4 Li 2.91, 4 Zr 2.91, 2 Au 3.02
Au: 0.0000 0.0000 0.2500  4 Li 2.91, 4 Zr 2.91, 2 Au 3.02
Au: 0.5000 0.0000 0.7500  4 Li 2.91, 4 Zr 2.91, 2 Au 3.02
Au: 0.0000 0.5000 0.2500  4 Li 2.91, 4 Zr 2.91, 2 Au 3.02
Au: 0.5000 0.5000 0.7500  4 Li 2.91, 4 Zr 2.91, 2 Au 3.02
Au: 0.5000 0.0000 0.2500  4 Li 2.91, 4 Zr 2.91, 2 Au 3.02
Au: 0.0000 0.0000 0.7500  4 Li 2.91, 4 Zr 2.91, 2 Au 3.02
Li: 0.7500 0.2500 0.9999  8 Au 2.91, 2 Li 3.02
Li: 0.2500 0.7500 0.5001  8 Au 2.91, 2 Li 3.02
Li: 0.7500 0.2500 0.4999  8 Au 2.91, 2 Li 3.02
Li: 0.2500 0.7500 0.0001  8 Au 2.91, 2 Li 3.02
Zr: 0.7500 0.7500 0.5000  8 Au 2.91, 2 Zr 3.02
Zr: 0.2500 0.2500 0.5000  8 Au 2.91, 2 Zr 3.02
Zr: 0.7500 0.7500 0.0000  8 Au 2.91, 2 Zr 3.02
Zr: 0.2500 0.2500 0.0000  8 Au 2.91, 2 Zr 3.02

=====

(11)
# LiZrAu2

Crystalline LiZrAu2 at its relaxed geometry (GGA-PBE, OQMD via LeMat-Bulk).

Results
Symmetry: No. 194
Final energy, eV per atom: -4.63
Polymorph energy (0 for the lowest one), eV/f.u.: 0.62

a = 4.7447 Å, b = 4.7447 Å, c = 8.0187 Å
α = 90.00°, β = 90.00°, γ = 120.00°
Closest atoms and distances in Å follow each position.
Fractional positions:
Li: 0.6667 0.3333 0.7500  2 Au 2.64
Li: 0.3333 0.6667 0.2500  2 Au 2.64
Au: 0.6667 0.3333 0.0788  1 Li 2.64, 1 Au 2.75, 3 Zr 2.81
Au: 0.6667 0.3333 0.4212  1 Li 2.64, 1 Au 2.75, 3 Zr 2.81
Au: 0.3333 0.6667 0.9212  1 Li 2.64, 1 Au 2.75, 3 Zr 2.81
Au: 0.3333 0.6667 0.5788  1 Li 2.64, 1 Au 2.75, 3 Zr 2.81
Zr: 0.0000 0.0000 0.0000  6 Au 2.81
Zr: 0.0000 0.0000 0.5000  6 Au 2.81

=====

(12)
# LuAu2

Crystalline LuAu2 at its relaxed geometry (GGA-PBE, OQMD via LeMat-Bulk).

Results
Symmetry: No. 139
Final energy, eV per atom: -4.58
Formation energy from the elements, kJ/mol of formula units: -258

a = 3.6513 Å, b = 3.6513 Å, c = 5.1600 Å
α = 110.72°, β = 110.72°, γ = 90.00°
Closest atoms and distances in Å follow each position.
Fractional positions:
Lu: 0.0000 0.0000 0.0000  10 Au 2.96-3.01
Au: 0.6630 0.6630 0.3259  5 Au 2.91-3.01, 5 Lu 2.96-3.01
Au: 0.3370 0.3370 0.6741  5 Au 2.91-3.01, 5 Lu 2.96-3.01